1.
# KZrPO2 | the Alexandria database | PBE-GGA | optimized geometry
data_KZrPO2
_chemical_formula_sum 'K1 Zr1 P1 O2'
_symmetry_space_group_name_H-M 'P 4/m m m'
_symmetry_Int_Tables_number 123
_symmetry_space_group_name_Hall '-P 4 2'
_cell_length_a 4.263
_cell_length_b 4.263
_cell_length_c 4.889
_cell_angle_alpha 90.00
_cell_angle_beta 90.00
_cell_angle_gamma 90.00
loop_
_atom_site_label
_atom_site_fract_x
_atom_site_fract_y
_atom_site_fract_z
K1 0.000 0.000 0.000
Zr1 0.500 0.500 0.500
P1 0.000 0.000 0.500
O1 0.000 0.500 0.000
# **Energy above the most stable polymorph in this dataset**: 2.051 eV/atom
# **Spin magnetization**: 0.988 μB per cell
# **Formation energy without anion corrections**: 3.068 eV per formula unit



2.
# Tb8Si3GeTe4 | the Alexandria database | PBE-GGA | optimized geometry
data_Tb8Si3GeTe4
_chemical_formula_sum 'Tb24 Si9 Ge3 Te12'
_symmetry_space_group_name_H-M 'R -3 m'
_symmetry_Int_Tables_number 166
_symmetry_space_group_name_Hall '-R 3 2"'
_cell_length_a 8.4872
_cell_length_b 8.4872
_cell_length_c 21.3617
_cell_angle_alpha 90.00
_cell_angle_beta 90.00
_cell_angle_gamma 120.00
loop_
_atom_site_label
_atom_site_fract_x
_atom_site_fract_y
_atom_site_fract_z
Tb1 0.0000 0.0000 0.2398
Tb2 0.0011 0.5006 0.7600
Si1 0.0000 0.5000 0.5000
Ge1 0.0000 0.0000 0.5000
Te1 0.0000 0.0000 0.0000
Te2 0.0000 0.5000 0.0000
# **Spin magnetization**: 0.000 μB per cell
# **Formation energy without anion corrections**: -18.053 eV per formula unit



3.
# TbBeGe2Ru2 | the Alexandria database | PBE-GGA | optimized geometry
data_TbBeGe2Ru2
_chemical_formula_sum 'Tb1 Be1 Ge2 Ru2'
_symmetry_space_group_name_H-M 'P 4/m m m'
_symmetry_Int_Tables_number 123
_symmetry_space_group_name_Hall '-P 4 2'
_cell_length_a 4.258
_cell_length_b 4.258
_cell_length_c 5.410
_cell_angle_alpha 90.00
_cell_angle_beta 90.00
_cell_angle_gamma 90.00
loop_
_atom_site_label
_atom_site_fract_x
_atom_site_fract_y
_atom_site_fract_z
Tb1 0.000 0.000 0.000
Be1 0.000 0.000 0.500
Ge1 0.500 0.500 0.232
Ru1 0.000 0.500 0.500
# **Spin magnetization**: 0.000 μB per cell
# **DFT formation energy**: -2.8 eV/f.u.



4.
# SrAcAl2Zn2 | the Alexandria database | PBE-GGA | optimized geometry
data_SrAcAl2Zn2
_chemical_formula_sum 'Sr1 Ac1 Al2 Zn2'
_symmetry_space_group_name_H-M 'P -3 m 1'
_symmetry_Int_Tables_number 164
_symmetry_space_group_name_Hall '-P 3 2"'
_cell_length_a 4.6122
_cell_length_b 4.6122
_cell_length_c 8.6456
_cell_angle_alpha 90.00
_cell_angle_beta 90.00
_cell_angle_gamma 120.00
loop_
_atom_site_label
_atom_site_fract_x
_atom_site_fract_y
_atom_site_fract_z
Sr1 0.0000 0.0000 0.0000
Ac1 0.0000 0.0000 0.5000
Al1 0.3333 0.6667 0.7449
Zn1 0.3333 0.6667 0.2519
# **Spin magnetization**: 0.000 μB per cell
# **DFT formation energy**: -1.7 eV/f.u.



Please write out number 2 again, unchanged.
# Tb8Si3GeTe4 | the Alexandria database | PBE-GGA | optimized geometry
data_Tb8Si3GeTe4
_chemical_formula_sum 'Tb24 Si9 Ge3 Te12'
_symmetry_space_group_name_H-M 'R -3 m'
_symmetry_Int_Tables_number 166
_symmetry_space_group_name_Hall '-R 3 2"'
_cell_length_a 8.4872
_cell_length_b 8.4872
_cell_length_c 21.3617
_cell_angle_alpha 90.00
_cell_angle_beta 90.00
_cell_angle_gamma 120.00
loop_
_atom_site_label
_atom_site_fract_x
_atom_site_fract_y
_atom_site_fract_z
Tb1 0.0000 0.0000 0.2398
Tb2 0.0011 0.5006 0.7600
Si1 0.0000 0.5000 0.5000
Ge1 0.0000 0.0000 0.5000
Te1 0.0000 0.0000 0.0000
Te2 0.0000 0.5000 0.0000
# **Spin magnetization**: 0.000 μB per cell
# **Formation energy without anion corrections**: -18.053 eV per formula unit



Repeat the third record exactly.
# TbBeGe2Ru2 | the Alexandria database | PBE-GGA | optimized geometry
data_TbBeGe2Ru2
_chemical_formula_sum 'Tb1 Be1 Ge2 Ru2'
_symmetry_space_group_name_H-M 'P 4/m m m'
_symmetry_Int_Tables_number 123
_symmetry_space_group_name_Hall '-P 4 2'
_cell_length_a 4.258
_cell_length_b 4.258
_cell_length_c 5.410
_cell_angle_alpha 90.00
_cell_angle_beta 90.00
_cell_angle_gamma 90.00
loop_
_atom_site_label
_atom_site_fract_x
_atom_site_fract_y
_atom_site_fract_z
Tb1 0.000 0.000 0.000
Be1 0.000 0.000 0.500
Ge1 0.500 0.500 0.232
Ru1 0.000 0.500 0.500
# **Spin magnetization**: 0.000 μB per cell
# **DFT formation energy**: -2.8 eV/f.u.



- What is the formula in the second record?
  Tb8Si3GeTe4